# 1
Compound: KY2PbS
Source: Alexandria via LeMat-Bulk
Functional: PBE-GGA
Structure: optimized geometry

Cell and atoms, written as POSCAR:
```
KY2PbS
1.0
5.544 0.000 0.000
0.000 5.544 0.000
0.000 0.000 5.583
K Y Pb S
1 2 1 1
Cartesian
0.000 0.000 0.000
0.000 2.772 0.000
2.772 0.000 0.000
0.000 0.000 2.791
2.772 2.772 2.791
```


# 2
Compound: PmHo2ScS6
Source: Alexandria via LeMat-Bulk
Functional: PBE-GGA
Structure: optimized geometry

Cell and atoms, written as POSCAR:
```
PmHo2ScS6
1.0
3.423 1.976 6.112
-3.423 1.976 6.112
0.000 -3.952 6.112
Pm Ho Sc S
1 2 1 6
Cartesian
0.000 0.000 0.000
0.000 0.000 5.362
0.000 0.000 14.631
0.000 0.000 9.019
-1.989 -0.068 7.285
-1.289 -1.877 10.285
1.053 -1.689 7.285
-0.981 2.055 10.285
0.936 1.756 7.285
2.270 -0.178 10.285
```


# 3
Compound: LaHoCI
Source: Alexandria via LeMat-Bulk
Functional: PBE-GGA
Structure: optimized geometry

Cell and atoms, written as POSCAR:
```
LaHoCI
1.0
1.914 1.105 7.753
-1.914 1.105 7.753
0.000 -2.210 7.753
La Ho C I
1 1 1 1
Cartesian
0.000 0.000 0.000
0.000 0.000 5.080
0.000 0.000 14.001
0.000 0.000 18.214
```


# 4
Compound: LaRhS
Source: Alexandria via LeMat-Bulk
Functional: PBE-GGA
Structure: optimized geometry

Cell and atoms, written as POSCAR:
```
LaRhS
1.0
4.246 0.000 0.000
-2.123 3.677 0.000
0.000 0.000 3.840
La Rh S
1 1 1
Cartesian
0.000 0.000 0.000
2.123 1.226 1.888
0.000 2.452 1.944
```


| no. | magnetization (μB per atom) | E_form (uncorrected) (eV per atom) | theoretical density (g cm⁻³) |
| --- | --- | --- | --- |
| 1 | 0.000 | 1.26 | 4.41 |
| 2 | 0.000 | -1.99 | 4.77 |
| 3 | 0.006 | -0.73 | 7.48 |
| 4 | 0.000 | -1.37 | 7.58 |